A plane-wave DFT calculation with PBE was carried out for a relaxed structure of KPu4O8.

Output
ΔE to the lowest computed polymorph (meV/atom): 0
Raw total energy (eV per atom): -10.366
DOS at the Fermi energy (states/eV/atom): 2.1426
Formation energy (no corrections) (eV/atom): -2.821

Geometry as CIF:
```
data_KPu4O8
_symmetry_space_group_name_H-M 'R -3 m'
_symmetry_Int_Tables_number 166
_symmetry_space_group_name_Hall '-R 3 2"'
_cell_length_a 7.0555
_cell_length_b 7.0555
_cell_length_c 19.5973
_cell_angle_alpha 90.00
_cell_angle_beta 90.00
_cell_angle_gamma 120.00
loop_
_atom_site_label
_atom_site_fract_x
_atom_site_fract_y
_atom_site_fract_z
_atom_site_occupancy
K1 0.0000 0.0000 0.0000 1
Pu1 0.0000 0.0000 0.5000 1
Pu2 0.0000 0.5000 0.5000 1
O1 0.0000 0.0000 0.2155 1
O2 0.0053 0.5027 0.7818 1
```

***

A plane-wave DFT calculation with PBE was carried out for a relaxed structure of TbPrInHg.

Output
Formation energy from the elements (meV per atom): -464
Raw total energy (eV per atom): -3.577
DOS at the Fermi energy (states/eV/atom): 1.2544

Geometry as CIF:
```
data_TbPrInHg
_symmetry_space_group_name_H-M 'F -4 3 m'
_symmetry_Int_Tables_number 216
_symmetry_space_group_name_Hall 'F -4 2 3'
_cell_length_a 7.669
_cell_length_b 7.669
_cell_length_c 7.669
_cell_angle_alpha 90.00
_cell_angle_beta 90.00
_cell_angle_gamma 90.00
loop_
_atom_site_label
_atom_site_fract_x
_atom_site_fract_y
_atom_site_fract_z
_atom_site_occupancy
Tb1 0.000 0.000 0.000 1
Pr1 0.000 0.000 0.500 1
In1 0.250 0.250 0.250 1
Hg1 0.250 0.250 0.750 1
```